{"formula": "La2TcMo", "functional": "GGA-PBE", "state": "relaxed", "lattice": [[-2.002, 3.317, -1.397], [-2.062, -0.153, 2.592], [3.251, 4.381, 5.745]], "species": ["La", "La", "Mo", "Tc"], "fractional_positions": [[0.000, 0.956, 0.923], [0.500, 0.289, 0.325], [0.000, 0.510, 0.569], [0.500, 0.745, 0.683]], "relative_energy_mev_per_atom": 116, "spacegroup": "Pm (6)", "total_magnetization_mub_per_cell": 0.0, "formation_energy_ev_per_atom": 0.27, "rho_g_cm3": 7.6}